4
Lattice="-1.444 1.993 -5.454 1.620 -3.111 -4.848 -4.137 -2.868 -3.235" Properties=species:S:1:pos:R:3 comment="CaAcEuMg (PBE, relaxed)" formation_enthalpy_0k_ev_per_atom=0.03 energy_ev_per_cell=-17.84 pbc="T T T"
Ac -0.990 -0.996 -3.384
Ca 0.000 0.000 0.000
Mg -1.980 -1.993 -6.769
Eu -2.970 -2.989 -10.153